Record 1
Below is a relaxed structure of Li2HgHRh, with properties calculated at the GGA-PBE level.

Cell lengths 4.099, 4.099, 3.669 Å; angles 90.00, 90.00, 90.00 degrees
Fractional positions:
Li (0.000, 0.500, 0.000)
Li (0.500, 0.000, 0.000)
Hg (0.000, 0.000, 0.500)
H (0.500, 0.500, 0.000)
Rh (0.500, 0.500, 0.500)

Results
Final energy, eV per cell: -16.60
Crystal system: tetragonal


Record 2
Below is a relaxed structure of TmPaBiO6, with properties calculated at the GGA-PBE level.

Cell lengths 5.128, 5.128, 10.571 Å; angles 90.00, 90.00, 90.00 degrees
Fractional positions:
Tm (0.000, 0.000, 0.000)
Tm (0.500, 0.500, 0.500)
Pa (0.000, 0.000, 0.665)
Pa (0.500, 0.500, 0.165)
Bi (0.000, 0.000, 0.332)
Bi (0.500, 0.500, 0.832)
O (0.186, 0.186, 0.829)
O (0.191, 0.191, 0.504)
O (0.199, 0.199, 0.164)
O (0.301, 0.699, 0.664)
O (0.309, 0.691, 0.004)
O (0.314, 0.686, 0.329)
O (0.686, 0.314, 0.329)
O (0.691, 0.309, 0.004)
O (0.699, 0.301, 0.664)
O (0.801, 0.801, 0.164)
O (0.809, 0.809, 0.504)
O (0.814, 0.814, 0.829)

Results
Final energy, eV per cell: -144.28
Crystal system: tetragonal
Uncorrected formation energy, eV/atom: -2.7269


Record 3
Below is a relaxed structure of Ce2AgAs, with properties calculated at the GGA-PBE level.

Cell lengths 8.077, 8.077, 8.077 Å; angles 29.41, 29.41, 29.41 degrees
Fractional positions:
Ce (0.000, 0.000, 0.000)
Ce (0.184, 0.184, 0.184)
Ag (0.758, 0.758, 0.758)
As (0.592, 0.592, 0.592)

Results
DFT formation energy, eV/atom: -0.593
Final energy, eV per cell: -21.74
Crystal system: trigonal
Relative energy among the computed polymorphs, eV per atom: 0.022


Record 4
Below is a relaxed structure of Hf2AgRhCl, with properties calculated at the GGA-PBE level.

Cell lengths 4.686, 4.686, 4.413 Å; angles 90.00, 90.00, 90.00 degrees
Fractional positions:
Hf (0.000, 0.500, 0.000)
Hf (0.500, 0.000, 0.000)
Ag (0.000, 0.000, 0.500)
Rh (0.500, 0.500, 0.500)
Cl (0.500, 0.500, 0.000)

Results
Final energy, eV per cell: -30.96
Crystal system: tetragonal
Uncorrected formation energy, eV/atom: 0.1990


Record 5
Below is a relaxed structure of La2Pm3In3, with properties calculated at the GGA-PBE level.

Cell lengths 5.009, 5.092, 9.545 Å; angles 90.00, 90.00, 90.00 degrees
Fractional positions:
La (0.000, 0.000, 0.243)
La (0.000, 0.000, 0.757)
Pm (0.500, 0.000, 0.500)
Pm (0.500, 0.500, 0.230)
Pm (0.500, 0.500, 0.770)
In (0.000, 0.500, 0.000)
In (0.000, 0.500, 0.500)
In (0.500, 0.000, 0.000)

Results
DFT formation energy, eV/atom: -0.365
Final energy, eV per cell: -35.24
Crystal system: orthorhombic


Record 6
Below is a relaxed structure of Rb6CdAu3, with properties calculated at the GGA-PBE level.

Cell lengths 9.638, 8.177, 14.520 Å; angles 90.00, 121.25, 90.00 degrees
Fractional positions:
Rb (0.053, 0.002, 0.249)
Rb (0.053, 0.498, 0.749)
Rb (0.246, 0.628, 0.112)
Rb (0.246, 0.872, 0.612)
Rb (0.380, 0.120, 0.079)
Rb (0.380, 0.380, 0.579)
Rb (0.620, 0.620, 0.421)
Rb (0.620, 0.880, 0.921)
Rb (0.754, 0.128, 0.388)
Rb (0.754, 0.372, 0.888)
Rb (0.947, 0.502, 0.251)
Rb (0.947, 0.998, 0.751)
Cd (0.500, 0.000, 0.500)
Cd (0.500, 0.500, 0.000)
Au (0.000, 0.000, 0.000)
Au (0.000, 0.500, 0.500)
Au (0.373, 0.232, 0.837)
Au (0.373, 0.268, 0.337)
Au (0.627, 0.732, 0.663)
Au (0.627, 0.768, 0.163)

Results
DFT formation energy, eV/atom: -0.139
Final energy, eV per cell: -35.88
Crystal system: monoclinic


Record 7
Below is a relaxed structure of La3YZr, with properties calculated at the GGA-PBE level.

Cell lengths 5.770, 5.770, 5.770 Å; angles 90.00, 90.00, 90.00 degrees
Fractional positions:
La (0.000, 0.000, 0.500)
La (0.000, 0.500, 0.000)
La (0.500, 0.000, 0.000)
Y (0.500, 0.500, 0.500)
Zr (0.000, 0.000, 0.000)

Results
DFT formation energy, eV/atom: 0.499
Final energy, eV per cell: -27.30
Crystal system: cubic
Relative energy among the computed polymorphs, eV per atom: 0.000


Record 8
Below is a relaxed structure of Tb3Y8Sc2, with properties calculated at the GGA-PBE level.

Cell lengths 8.534, 8.534, 6.621 Å; angles 97.44, 97.44, 64.63 degrees
Fractional positions:
Tb (0.000, 0.000, 0.000)
Tb (0.168, 0.832, 0.500)
Tb (0.832, 0.168, 0.500)
Y (0.201, 0.565, 0.067)
Y (0.206, 0.206, 0.304)
Y (0.415, 0.415, 0.633)
Y (0.435, 0.799, 0.933)
Y (0.565, 0.201, 0.067)
Y (0.585, 0.585, 0.367)
Y (0.794, 0.794, 0.696)
Y (0.799, 0.435, 0.933)
Sc (0.198, 0.198, 0.799)
Sc (0.802, 0.802, 0.201)

Results
DFT formation energy, eV/atom: 0.262
Final energy, eV per cell: -74.85
Crystal system: monoclinic
Relative energy among the computed polymorphs, eV per atom: 0.032


Record 9
Below is a relaxed structure of Tl3Ga2Cl2O4, with properties calculated at the GGA-PBE level.

Cell lengths 12.246, 12.246, 12.246 Å; angles 160.73, 160.73, 27.39 degrees
Fractional positions:
Tl (0.000, 0.000, 0.000)
Tl (0.157, 0.157, 0.000)
Tl (0.843, 0.843, 0.000)
Ga (0.421, 0.421, 0.000)
Ga (0.579, 0.579, 0.000)
Cl (0.314, 0.314, 0.000)
Cl (0.686, 0.686, 0.000)
O (0.064, 0.564, 0.500)
O (0.436, 0.936, 0.500)
O (0.564, 0.064, 0.500)
O (0.936, 0.436, 0.500)

Results
Final energy, eV per cell: -46.74
Crystal system: tetragonal
Uncorrected formation energy, eV/atom: -0.9151


Record 10
Below is a relaxed structure of ZnHgAs2, with properties calculated at the GGA-PBE level.

Cell lengths 2.834, 5.423, 5.488 Å; angles 90.00, 91.31, 90.00 degrees
Fractional positions:
Zn (0.000, 0.000, 0.000)
Hg (0.677, 0.500, 0.003)
As (0.811, 0.500, 0.504)
As (0.886, 0.000, 0.499)

Results
DFT formation energy, eV/atom: 0.196
Final energy, eV per cell: -10.09
Crystal system: monoclinic
Relative energy among the computed polymorphs, eV per atom: 0.118


Record 11
Below is a relaxed structure of SnPd2Pb2, with properties calculated at the GGA-PBE level.

Cell lengths 8.458, 8.458, 3.224 Å; angles 90.00, 90.00, 90.00 degrees
Fractional positions:
Sn (0.000, 0.000, 0.000)
Sn (0.500, 0.500, 0.000)
Pd (0.150, 0.350, 0.500)
Pd (0.350, 0.850, 0.500)
Pd (0.650, 0.150, 0.500)
Pd (0.850, 0.650, 0.500)
Pb (0.144, 0.644, 0.000)
Pb (0.356, 0.144, 0.000)
Pb (0.644, 0.856, 0.000)
Pb (0.856, 0.356, 0.000)

Results
DFT formation energy, eV/atom: -0.027
Final energy, eV per cell: -43.88
Crystal system: tetragonal
Relative energy among the computed polymorphs, eV per atom: 0.168


Record 12
Below is a relaxed structure of YHgIr2, with properties calculated at the GGA-PBE level.

Cell lengths 5.565, 5.565, 3.013 Å; angles 104.58, 104.58, 115.39 degrees
Fractional positions:
Y (0.000, 0.000, 0.000)
Hg (0.500, 0.500, 0.000)
Ir (0.000, 0.500, 0.500)
Ir (0.500, 0.000, 0.500)

Results
DFT formation energy, eV/atom: 0.037
Final energy, eV per cell: -24.34
Crystal system: monoclinic


Record 13
Below is a relaxed structure of BeAgAu5, with properties calculated at the GGA-PBE level.

Cell lengths 4.077, 4.077, 7.222 Å; angles 90.00, 90.00, 90.00 degrees
Fractional positions:
Be (0.000, 0.000, 0.000)
Ag (0.500, 0.500, 0.500)
Au (0.000, 0.000, 0.500)
Au (0.000, 0.500, 0.197)
Au (0.000, 0.500, 0.803)
Au (0.500, 0.000, 0.197)
Au (0.500, 0.000, 0.803)

Results
DFT formation energy, eV/atom: -0.065
Final energy, eV per cell: -23.42
Crystal system: tetragonal
Relative energy among the computed polymorphs, eV per atom: 0.000


Record 14
Below is a relaxed structure of Ho3Tm4Ru4, with properties calculated at the GGA-PBE level.

Cell lengths 9.332, 9.332, 9.332 Å; angles 158.37, 123.73, 60.99 degrees
Fractional positions:
Ho (0.000, 0.000, 0.000)
Ho (0.402, 0.902, 0.500)
Ho (0.598, 0.098, 0.500)
Tm (0.026, 0.335, 0.691)
Tm (0.356, 0.665, 0.691)
Tm (0.644, 0.335, 0.309)
Tm (0.974, 0.665, 0.309)
Ru (0.257, 0.257, 0.000)
Ru (0.276, 0.500, 0.776)
Ru (0.724, 0.500, 0.224)
Ru (0.743, 0.743, 0.000)

Results
DFT formation energy, eV/atom: -0.370
Final energy, eV per cell: -72.79
Crystal system: orthorhombic


Record 15
Below is a relaxed structure of Zr2Cd2O, with properties calculated at the GGA-PBE level.

Cell lengths 6.019, 6.019, 5.463 Å; angles 90.00, 90.00, 90.00 degrees
Fractional positions:
Zr (0.173, 0.327, 0.000)
Zr (0.327, 0.827, 0.000)
Zr (0.673, 0.173, 0.000)
Zr (0.827, 0.673, 0.000)
Cd (0.162, 0.662, 0.500)
Cd (0.338, 0.162, 0.500)
Cd (0.662, 0.838, 0.500)
Cd (0.838, 0.338, 0.500)
O (0.000, 0.000, 0.000)
O (0.500, 0.500, 0.000)

Results
Final energy, eV per cell: -57.39
Crystal system: tetragonal
Uncorrected formation energy, eV/atom: -0.9619


Record 16
Below is a relaxed structure of Be2In2CuPd5, with properties calculated at the GGA-PBE level.

Cell lengths 9.411, 9.411, 3.329 Å; angles 90.00, 90.00, 90.00 degrees
Fractional positions:
Be (0.127, 0.373, 0.000)
Be (0.373, 0.873, 0.000)
Be (0.627, 0.127, 0.000)
Be (0.873, 0.627, 0.000)
In (0.174, 0.674, 0.000)
In (0.326, 0.174, 0.000)
In (0.674, 0.826, 0.000)
In (0.826, 0.326, 0.000)
Cu (0.000, 0.000, 0.000)
Cu (0.500, 0.500, 0.000)
Pd (0.000, 0.500, 0.500)
Pd (0.075, 0.207, 0.500)
Pd (0.207, 0.925, 0.500)
Pd (0.293, 0.425, 0.500)
Pd (0.425, 0.707, 0.500)
Pd (0.500, 0.000, 0.500)
Pd (0.575, 0.293, 0.500)
Pd (0.707, 0.575, 0.500)
Pd (0.793, 0.075, 0.500)
Pd (0.925, 0.793, 0.500)

Results
DFT formation energy, eV/atom: -0.407
Final energy, eV per cell: -94.11
Crystal system: tetragonal


Record 17
Below is a relaxed structure of NdZn8Ir2, with properties calculated at the GGA-PBE level.

Cell lengths 6.339, 6.339, 5.248 Å; angles 90.00, 90.00, 90.00 degrees
Fractional positions:
Nd (0.000, 0.000, 0.000)
Zn (0.293, 0.293, 0.256)
Zn (0.293, 0.293, 0.744)
Zn (0.293, 0.707, 0.256)
Zn (0.293, 0.707, 0.744)
Zn (0.707, 0.293, 0.256)
Zn (0.707, 0.293, 0.744)
Zn (0.707, 0.707, 0.256)
Zn (0.707, 0.707, 0.744)
Ir (0.000, 0.500, 0.500)
Ir (0.500, 0.000, 0.500)

Results
DFT formation energy, eV/atom: 0.067
Final energy, eV per cell: -31.94
Crystal system: tetragonal


Record 18
Below is a relaxed structure of Li2GaAg, with properties calculated at the GGA-PBE level.

Cell lengths 3.064, 3.064, 6.576 Å; angles 90.00, 90.00, 90.00 degrees
Fractional positions:
Li (0.000, 0.000, 0.248)
Li (0.000, 0.000, 0.752)
Ga (0.500, 0.500, 0.000)
Ag (0.500, 0.500, 0.500)

Results
DFT formation energy, eV/atom: -0.255
Final energy, eV per cell: -10.73
Crystal system: tetragonal


Record 19
Below is a relaxed structure of Cs5Zn4P4, with properties calculated at the GGA-PBE level.

Cell lengths 9.982, 9.982, 9.982 Å; angles 92.60, 92.60, 155.41 degrees
Fractional positions:
Cs (0.000, 0.000, 0.000)
Cs (0.289, 0.364, 0.653)
Cs (0.364, 0.711, 0.075)
Cs (0.636, 0.289, 0.925)
Cs (0.711, 0.636, 0.347)
Zn (0.103, 0.574, 0.677)
Zn (0.426, 0.103, 0.529)
Zn (0.574, 0.897, 0.471)
Zn (0.897, 0.426, 0.323)
P (0.035, 0.316, 0.352)
P (0.316, 0.965, 0.281)
P (0.684, 0.035, 0.719)
P (0.965, 0.684, 0.648)

Results
DFT formation energy, eV/atom: -0.250
Final energy, eV per cell: -34.26
Crystal system: tetragonal


Record 20
Below is a relaxed structure of ThNbVSi2, with properties calculated at the GGA-PBE level.

Cell lengths 6.401, 6.401, 6.401 Å; angles 143.20, 143.20, 53.02 degrees
Fractional positions:
Th (0.000, 0.000, 0.000)
Nb (0.750, 0.250, 0.500)
V (0.250, 0.750, 0.500)
Si (0.392, 0.392, 0.000)
Si (0.608, 0.608, 0.000)

Results
Final energy, eV per cell: -40.60
Crystal system: tetragonal
Uncorrected formation energy, eV/atom: -0.6284